Model w:
Ac8Pr2Ho: optimized geometry, PBE.

## Properties
- theoretical density (g cm⁻³) = 7.3
- V (Å³/cell) = 1028.2
- magnetization (μB/atom) = 0.000

CIF file:
```
data_Ac8Pr2Ho
_chemical_formula_sum 'Ac16 Pr4 Ho2'
_cell_length_a 13.296
_cell_length_b 12.609
_cell_length_c 6.331
_cell_angle_alpha 90.00
_cell_angle_beta 104.37
_cell_angle_gamma 90.00
_symmetry_space_group_name_H-M 'C 1 2/m 1'
_symmetry_Int_Tables_number 12
loop_
_symmetry_equiv_pos_as_xyz
'x,y,z'
'-x,-y,-z'
'-x,y,-z'
'x,-y,z'
'x+1/2,y+1/2,z'
'-x+1/2,-y+1/2,-z'
'-x+1/2,y+1/2,-z'
'x+1/2,-y+1/2,z'
loop_
_atom_site_label
_atom_site_fract_x
_atom_site_fract_y
_atom_site_fract_z
Ac1 0.084 0.000 0.291
Ac2 0.100 0.258 0.801
Ac3 0.232 0.000 0.883
Pr1 0.130 0.500 0.514
Ho1 0.000 0.500 0.000
```



Model x:
Ac8Pr2Ho: optimized geometry, PBE.

## Properties
- theoretical density (g cm⁻³) = 8.1
- V (Å³/cell) = 924.5
- magnetization (μB/atom) = 0.000

CIF file:
```
data_Ac8Pr2Ho
_chemical_formula_sum 'Ac16 Pr4 Ho2'
_cell_length_a 19.786
_cell_length_b 5.560
_cell_length_c 8.715
_cell_angle_alpha 90.00
_cell_angle_beta 105.37
_cell_angle_gamma 90.00
_symmetry_space_group_name_H-M 'C 1 2/m 1'
_symmetry_Int_Tables_number 12
loop_
_symmetry_equiv_pos_as_xyz
'x,y,z'
'-x,-y,-z'
'-x,y,-z'
'x,-y,z'
'x+1/2,y+1/2,z'
'-x+1/2,-y+1/2,-z'
'-x+1/2,y+1/2,-z'
'x+1/2,-y+1/2,z'
loop_
_atom_site_label
_atom_site_fract_x
_atom_site_fract_y
_atom_site_fract_z
Ac1 0.046 0.000 0.230
Ac2 0.092 0.500 0.950
Ac3 0.137 0.000 0.686
Ac4 0.181 0.500 0.414
Pr1 0.226 0.000 0.134
Ho1 0.000 0.500 0.500
```



Preferred: model x; penalty for the next structure: 0.330 eV/atom.



Model w:
AcPr7Ho2: optimized geometry, PBE.

## Properties
- theoretical density (g cm⁻³) = 5.9
- V (Å³/cell) = 871.6
- magnetization (μB/atom) = 0.000

CIF file:
```
data_AcPr7Ho2
_chemical_formula_sum 'Ac2 Pr14 Ho4'
_cell_length_a 9.102
_cell_length_b 16.186
_cell_length_c 5.916
_cell_angle_alpha 90.00
_cell_angle_beta 90.00
_cell_angle_gamma 90.00
_symmetry_space_group_name_H-M 'C m m m'
_symmetry_Int_Tables_number 65
_symmetry_space_group_name_Hall '-C 2 2'
loop_
_atom_site_label
_atom_site_fract_x
_atom_site_fract_y
_atom_site_fract_z
Ac1 0.000 0.000 0.000
Pr1 0.000 0.239 0.000
Pr2 0.000 0.500 0.500
Pr3 0.181 0.119 0.500
Ho1 0.000 0.297 0.500
```



Model x:
AcPr7Ho2: optimized geometry, PBE.

## Properties
- theoretical density (g cm⁻³) = 6.1
- V (Å³/cell) = 840.2
- magnetization (μB/atom) = 0.000

CIF file:
```
data_AcPr7Ho2
_chemical_formula_sum 'Ac2 Pr14 Ho4'
_cell_length_a 9.170
_cell_length_b 15.345
_cell_length_c 5.971
_cell_angle_alpha 90.00
_cell_angle_beta 90.00
_cell_angle_gamma 90.00
_symmetry_space_group_name_H-M 'C m m m'
_symmetry_Int_Tables_number 65
_symmetry_space_group_name_Hall '-C 2 2'
loop_
_atom_site_label
_atom_site_fract_x
_atom_site_fract_y
_atom_site_fract_z
Ac1 0.000 0.000 0.000
Pr1 0.000 0.337 0.000
Pr2 0.000 0.500 0.500
Pr3 0.191 0.113 0.500
Ho1 0.000 0.283 0.500
```



Preferred: model x; penalty for the next structure: 0.016 eV/atom.